i.
# TaRh4

An optimized crystal structure of TaRh4 (GGA-PBE, Alexandria via LeMat-Bulk).

Calculated values
N(E_F) in states/eV/atom: 1.487

Unit cell a=4.667 b=4.667 c=4.667 alpha=90.00 beta=90.00 gamma=90.00
Fractional positions:
Rh 0.500 0.000 0.500
Ta 0.500 0.500 0.500
Rh 0.000 0.000 0.000
Rh 0.000 0.500 0.500
Rh 0.500 0.500 0.000

---

ii.
# TaRh4

An optimized crystal structure of TaRh4 (GGA-PBE, Alexandria via LeMat-Bulk).

Calculated values
N(E_F) in states/eV/atom: 1.762

Unit cell a=4.967 b=4.967 c=4.967 alpha=109.47 beta=109.47 gamma=109.47
Fractional positions:
Rh 0.000 0.000 0.500
Rh 0.500 0.500 0.500
Rh 0.500 0.000 0.000
Ta 0.000 0.000 0.000
Rh 0.000 0.500 0.000

---

iii.
# TaRh4

An optimized crystal structure of TaRh4 (GGA-PBE, Alexandria via LeMat-Bulk).

Calculated values
N(E_F) in states/eV/atom: 0.945

Unit cell a=4.762 b=4.762 c=4.762 alpha=99.84 beta=99.84 gamma=131.17
Fractional positions:
Ta 0.000 0.000 0.000
Rh 0.398 0.197 0.595
Rh 0.803 0.398 0.201
Rh 0.602 0.803 0.405
Rh 0.197 0.602 0.799

---

It is iii that is most stable; the runner-up trails by 100.0 kJ/mol of atoms.

---

i.
# Ta3Rh2

An optimized crystal structure of Ta3Rh2 (GGA-PBE, Alexandria via LeMat-Bulk).

Calculated values
N(E_F) in states/eV/atom: 1.312

Unit cell a=11.655 b=11.655 c=11.655 alpha=14.22 beta=14.22 gamma=14.22
Fractional positions:
Ta 0.000 0.000 0.000
Ta 0.203 0.203 0.203
Ta 0.797 0.797 0.797
Rh 0.601 0.601 0.601
Rh 0.399 0.399 0.399

---

ii.
# Ta3Rh2

An optimized crystal structure of Ta3Rh2 (GGA-PBE, Alexandria via LeMat-Bulk).

Calculated values
N(E_F) in states/eV/atom: 1.485

Unit cell a=4.412 b=4.412 c=5.400 alpha=90.00 beta=90.00 gamma=120.00
Fractional positions:
Ta 0.333 0.667 0.362
Rh 0.667 0.333 0.151
Ta 0.667 0.333 0.638
Ta 0.000 0.000 0.000
Rh 0.333 0.667 0.849

---

It is i that is most stable; the runner-up trails by 14.4 kJ/mol of atoms.

---

i.
# TaTcRh6

An optimized crystal structure of TaTcRh6 (GGA-PBE, Alexandria via LeMat-Bulk).

Calculated values
N(E_F) in states/eV/atom: 0.941

Unit cell a=3.880 b=5.475 c=5.475 alpha=90.01 beta=90.00 gamma=90.00
Fractional positions:
Rh 0.000 0.254 0.254
Ta 0.500 0.000 0.000
Rh 0.000 0.746 0.746
Tc 0.500 0.500 0.500
Rh 0.000 0.254 0.746
Rh 0.500 0.000 0.500
Rh 0.500 0.500 0.000
Rh 0.000 0.746 0.254

---

ii.
# TaTcRh6

An optimized crystal structure of TaTcRh6 (GGA-PBE, Alexandria via LeMat-Bulk).

Calculated values
N(E_F) in states/eV/atom: 1.644

Unit cell a=5.164 b=5.164 c=5.164 alpha=86.68 beta=86.68 gamma=86.68
Fractional positions:
Rh 0.836 0.453 0.836
Rh 0.164 0.547 0.164
Tc 0.000 0.000 0.000
Rh 0.547 0.164 0.164
Rh 0.836 0.836 0.453
Rh 0.164 0.164 0.547
Rh 0.453 0.836 0.836
Ta 0.500 0.500 0.500

---

It is i that is most stable; the runner-up trails by 78.7 kJ/mol of atoms.

---

i.
# TaTcRh

An optimized crystal structure of TaTcRh (GGA-PBE, Alexandria via LeMat-Bulk).

Calculated values
N(E_F) in states/eV/atom: 0.598

Unit cell a=4.470 b=4.470 c=2.725 alpha=90.00 beta=90.00 gamma=120.00
Fractional positions:
Rh 0.000 0.000 0.167
Tc 0.333 0.667 0.667
Ta 0.667 0.333 0.167

---

ii.
# TaTcRh

An optimized crystal structure of TaTcRh (GGA-PBE, Alexandria via LeMat-Bulk).

Calculated values
N(E_F) in states/eV/atom: 1.784

Unit cell a=4.273 b=4.273 c=4.273 alpha=60.00 beta=60.00 gamma=60.00
Fractional positions:
Rh 0.000 0.000 0.000
Tc 0.750 0.750 0.750
Ta 0.500 0.500 0.500

---

iii.
# TaTcRh

An optimized crystal structure of TaTcRh (GGA-PBE, Alexandria via LeMat-Bulk).

Calculated values
N(E_F) in states/eV/atom: 1.179

Unit cell a=5.187 b=5.187 c=5.187 alpha=144.05 beta=144.05 gamma=51.75
Fractional positions:
Ta 0.330 0.330 0.000
Tc 0.679 0.679 0.000
Rh 0.992 0.992 0.000

---

iv.
# TaTcRh

An optimized crystal structure of TaTcRh (GGA-PBE, Alexandria via LeMat-Bulk).

Calculated values
N(E_F) in states/eV/atom: 1.576

Unit cell a=4.263 b=4.263 c=4.263 alpha=60.00 beta=60.00 gamma=60.00
Fractional positions:
Rh 0.500 0.500 0.500
Ta 0.750 0.750 0.750
Tc 0.000 0.000 0.000

---

It is iii that is most stable; the runner-up trails by 1.6 kJ/mol of atoms.

---

i.
# TaTcRh

An optimized crystal structure of TaTcRh (GGA-PBE, Alexandria via LeMat-Bulk).

Calculated values
N(E_F) in states/eV/atom: 0.692

Unit cell a=3.119 b=7.676 c=17.638 alpha=162.48 beta=90.00 gamma=101.72
Fractional positions:
Rh 0.984 0.968 0.736
Ta 0.964 0.929 0.877
Ta 0.036 0.071 0.123
Rh 0.016 0.032 0.264
Tc 0.949 0.898 0.368
Tc 0.051 0.102 0.632

---

ii.
# TaTcRh

An optimized crystal structure of TaTcRh (GGA-PBE, Alexandria via LeMat-Bulk).

Calculated values
N(E_F) in states/eV/atom: 1.105

Unit cell a=4.944 b=4.944 c=4.944 alpha=147.50 beta=133.21 gamma=58.13
Fractional positions:
Tc 0.664 0.664 0.000
Rh 0.004 0.004 0.000
Ta 0.333 0.333 0.000

---

iii.
# TaTcRh

An optimized crystal structure of TaTcRh (GGA-PBE, Alexandria via LeMat-Bulk).

Calculated values
N(E_F) in states/eV/atom: 0.505

Unit cell a=6.433 b=6.435 c=2.763 alpha=77.57 beta=77.63 gamma=24.80
Fractional positions:
Tc 0.656 0.656 0.344
Ta 0.336 0.336 0.664
Rh 0.009 0.009 0.991

---

It is i that is most stable; the runner-up trails by 10.0 kJ/mol of atoms.

---

i.
# TaTc2Rh2

An optimized crystal structure of TaTc2Rh2 (GGA-PBE, Alexandria via LeMat-Bulk).

Calculated values
N(E_F) in states/eV/atom: 1.134

Unit cell a=7.490 b=7.490 c=2.765 alpha=90.00 beta=90.00 gamma=90.00
Fractional positions:
Tc 0.380 0.880 0.000
Tc 0.120 0.380 0.000
Rh 0.825 0.325 0.500
Ta 0.000 0.000 0.000
Tc 0.880 0.620 0.000
Ta 0.500 0.500 0.000
Rh 0.325 0.175 0.500
Rh 0.175 0.675 0.500
Rh 0.675 0.825 0.500
Tc 0.620 0.120 0.000

---

ii.
# TaTc2Rh2

An optimized crystal structure of TaTc2Rh2 (GGA-PBE, Alexandria via LeMat-Bulk).

Calculated values
N(E_F) in states/eV/atom: 1.005

Unit cell a=7.542 b=7.542 c=2.726 alpha=90.00 beta=90.00 gamma=90.00
Fractional positions:
Ta 0.000 0.000 0.000
Rh 0.623 0.123 0.000
Rh 0.877 0.623 0.000
Tc 0.675 0.825 0.500
Ta 0.500 0.500 0.000
Rh 0.377 0.877 0.000
Tc 0.175 0.675 0.500
Tc 0.825 0.325 0.500
Rh 0.123 0.377 0.000
Tc 0.325 0.175 0.500

---

It is ii that is most stable; the runner-up trails by 1.7 kJ/mol of atoms.

---

i.
# TaTcRh3

An optimized crystal structure of TaTcRh3 (GGA-PBE, Alexandria via LeMat-Bulk).

Calculated values
N(E_F) in states/eV/atom: 1.885

Unit cell a=4.597 b=4.597 c=4.597 alpha=90.00 beta=90.00 gamma=90.00
Fractional positions:
Rh 0.000 0.500 0.000
Rh 0.500 0.000 0.000
Ta 0.500 0.500 0.500
Rh 0.000 0.000 0.500
Tc 0.000 0.000 0.000

---

ii.
# TaTcRh3

An optimized crystal structure of TaTcRh3 (GGA-PBE, Alexandria via LeMat-Bulk).

Calculated values
N(E_F) in states/eV/atom: 0.698

Unit cell a=4.690 b=4.690 c=4.690 alpha=90.00 beta=90.00 gamma=90.00
Fractional positions:
Ta 0.000 0.000 0.000
Rh 0.500 0.000 0.000
Rh 0.000 0.000 0.500
Tc 0.500 0.500 0.500
Rh 0.000 0.500 0.000

---

It is ii that is most stable; the runner-up trails by 13.5 kJ/mol of atoms.

---

i.
# Ta2TcRh

An optimized crystal structure of Ta2TcRh (GGA-PBE, Alexandria via LeMat-Bulk).

Calculated values
N(E_F) in states/eV/atom: 0.942

Unit cell a=3.228 b=3.228 c=6.314 alpha=90.00 beta=90.00 gamma=90.00
Fractional positions:
Tc 0.000 0.000 0.483
Rh 0.500 0.500 0.767
Ta 0.500 0.500 0.266
Ta 0.000 0.000 0.985

---

ii.
# Ta2TcRh

An optimized crystal structure of Ta2TcRh (GGA-PBE, Alexandria via LeMat-Bulk).

Calculated values
N(E_F) in states/eV/atom: 1.345

Unit cell a=4.513 b=4.513 c=4.513 alpha=60.00 beta=60.00 gamma=60.00
Fractional positions:
Tc 0.000 0.000 0.000
Rh 0.500 0.500 0.500
Ta 0.250 0.250 0.250
Ta 0.750 0.750 0.750

---

iii.
# Ta2TcRh

An optimized crystal structure of Ta2TcRh (GGA-PBE, Alexandria via LeMat-Bulk).

Calculated values
N(E_F) in states/eV/atom: 1.343

Unit cell a=9.631 b=9.631 c=9.631 alpha=16.89 beta=16.89 gamma=16.89
Fractional positions:
Tc 0.495 0.495 0.495
Ta 0.005 0.005 0.005
Ta 0.247 0.247 0.247
Rh 0.752 0.752 0.752

---

iv.
# Ta2TcRh

An optimized crystal structure of Ta2TcRh (GGA-PBE, Alexandria via LeMat-Bulk).

Calculated values
N(E_F) in states/eV/atom: 0.700

Unit cell a=5.332 b=5.332 c=5.332 alpha=144.33 beta=131.46 gamma=61.67
Fractional positions:
Tc 0.487 0.487 0.000
Ta 0.256 0.756 0.500
Rh 0.755 0.255 0.500
Ta 0.002 0.002 0.000

---

It is ii that is most stable; the runner-up trails by 6.9 kJ/mol of atoms.